## 1
NdZr2Pa (PBE-GGA, optimized geometry); Fermi-level density of states = 7.0 states/eV/cell
1.0
-0.4379 2.3100 -3.0725
-3.5814 -1.3686 -0.5184
-2.6008 5.1882 4.2712
Pa Nd Zr
1 1 2
direct
0.5000 0.5000 0.0000
0.5000 0.5000 0.5000
0.0000 0.0000 0.7951
0.0000 0.0000 0.2049

=====

## 2
NdZr2Pa (PBE-GGA, optimized geometry); Fermi-level density of states = 8.2 states/eV/cell
1.0
3.2700 0.0000 0.0000
1.6350 2.8319 0.0000
1.6350 0.9440 11.6428
Pa Nd Zr
1 1 2
direct
0.5000 0.5000 0.5000
0.0000 0.0000 0.0000
0.0915 0.0915 0.7255
0.9085 0.9085 0.2745

=====

The least stable of the structures above is 2, whereas 1 is the most stable.